A plane-wave DFT calculation with PBE-GGA was carried out for crystalline Na5Cd2Hg5 at its relaxed geometry.

Cell lengths 5.197, 5.197, 13.736 Å; angles 100.72, 100.72, 60.05 degrees
Element x y z (fractional)
Na: 0.000 0.000 0.000
Na: 0.193 0.193 0.581
Na: 0.275 0.275 0.829
Na: 0.725 0.725 0.171
Na: 0.807 0.807 0.419
Cd: 0.431 0.431 0.285
Cd: 0.569 0.569 0.715
Hg: 0.099 0.099 0.292
Hg: 0.355 0.355 0.064
Hg: 0.500 0.500 0.500
Hg: 0.645 0.645 0.936
Hg: 0.901 0.901 0.708

Calculated values
DFT formation energy = -0.19 eV/atom
crystal system = monoclinic


A plane-wave DFT calculation with PBE-GGA was carried out for crystalline Tl2MoAs at its relaxed geometry.

Cell lengths 3.121, 3.121, 10.366 Å; angles 90.00, 90.00, 111.21 degrees
Element x y z (fractional)
Tl: 0.000 0.000 0.000
Tl: 0.500 0.500 0.295
Mo: 0.000 0.000 0.529
As: 0.500 0.500 0.698

Calculated values
DFT formation energy = 0.31 eV/atom
crystal system = orthorhombic


| no. | calculated density (kg/m³) |
| --- | --- |
| 1 | 7102 |
| 2 | 10224 |